Material: FeMo3Se
Method: DFT, PBE
State: optimized geometry

Results
As for the calculated total energy: -7.685 eV/atom. The calculation puts the energy above the most stable polymorph in this dataset at 0.00 kJ per mole of atoms. The calculation puts the uncorrected formation energy at 6.02 eV/f.u.

Unit cell a=4.4948 b=4.4948 c=4.4948 alpha=90.00 beta=90.00 gamma=90.00
Last column: nearest neighbours and their distance in Å.
Space group Pm-3m (No. 221)
Unique sites:
Fe 0.0000 0.0000 0.0000 [1 per cell]  6 Mo 2.25
Mo 0.0000 0.0000 0.5000 [3 per cell]  2 Fe 2.25
Se 0.5000 0.5000 0.5000 [1 per cell]  12 Mo 3.18

---

Material: NaCd3Hg6Pb
Method: DFT, PBE
State: optimized geometry

Results
As for the calculated total energy: -0.881 eV/atom. As for the energy of formation from the pure elements: -10.1 kJ/mol of formula units.

Unit cell a=10.5041 b=10.5041 c=9.4369 alpha=90.00 beta=90.00 gamma=120.00
Last column: nearest neighbours and their distance in Å.
Space group R3 (No. 146, hexagonal axes)
Unique sites:
Na 0.0000 0.0000 0.0000 [3 per cell]  6 Hg 3.20-3.24, 3 Cd 3.42
Cd 0.0640 0.3371 0.5358 [9 per cell]  5 Hg 2.97-3.20, 1 Pb 3.29
Hg 0.0531 0.7833 0.7955 [9 per cell]  2 Hg 2.95-3.22, 3 Cd 2.99-3.20, 1 Na 3.24, 1 Pb 3.25
Hg 0.0830 0.8807 0.2768 [9 per cell]  4 Hg 2.95-3.22, 2 Cd 2.97-3.02, 1 Na 3.20
Pb 0.0000 0.0000 0.5882 [3 per cell]  6 Hg 3.25-3.47, 3 Cd 3.29

---

Material: Tl2ZnSnHg2
Method: DFT, PBE
State: optimized geometry

Results
As for the calculated total energy: -1.706 eV/atom. As for the energy of formation from the pure elements: 36.1 kJ/mol of formula units.

Unit cell a=6.7279 b=15.0213 c=6.5636 alpha=90.00 beta=90.00 gamma=90.00
Last column: nearest neighbours and their distance in Å.
Space group Ibam (No. 72)
Unique sites:
Tl 0.2348 0.1698 0.0000 [8 per cell]  4 Hg 3.12-3.38, 2 Sn 3.42
Zn 0.0000 0.5000 0.2500 [4 per cell]  4 Hg 2.83
Sn 0.0000 0.0000 0.2500 [4 per cell]  4 Hg 3.16, 2 Sn 3.28, 2 Zn 3.36, 4 Tl 3.42
Hg 0.2059 0.3771 0.0000 [8 per cell]  2 Zn 2.83, 1 Tl 3.12, 2 Sn 3.16

---

Material: PRhN2F
Method: DFT, PBE
State: optimized geometry

Results
As for the calculated total energy: -5.564 eV/atom. The calculation puts the energy above the most stable polymorph in this dataset at 0.00 kJ per mole of atoms. The calculation puts the uncorrected formation energy at 3.46 eV/f.u.

Unit cell a=3.6302 b=3.6302 c=3.5842 alpha=90.00 beta=90.00 gamma=90.00
Last column: nearest neighbours and their distance in Å.
Space group P4/mmm (No. 123)
Unique sites:
P 0.0000 0.0000 0.0000 [1 per cell]  2 F 1.79, 4 N 1.82
Rh 0.5000 0.5000 0.5000 [1 per cell]  8 N 2.55, 4 F 2.57
N 0.0000 0.5000 0.0000 [2 per cell]  2 P 1.82
F 0.0000 0.0000 0.5000 [1 per cell]  2 P 1.79

---

Material: LiCaScCr2
Method: DFT, PBE
State: optimized geometry

Results
As for the calculated total energy: -4.646 eV/atom. As for the energy of formation from the pure elements: 604.5 kJ/mol of formula units.

Unit cell a=4.8272 b=4.8272 c=5.5978 alpha=90.00 beta=90.00 gamma=90.00
Last column: nearest neighbours and their distance in Å.
Space group P4/mmm (No. 123)
Unique sites:
Li 0.0000 0.0000 0.0000 [1 per cell]  4 Ca 3.41, 8 Cr 3.70
Ca 0.5000 0.5000 0.0000 [1 per cell]  2 Sc 2.80
Sc 0.5000 0.5000 0.5000 [1 per cell]  4 Cr 2.41
Cr 0.0000 0.5000 0.5000 [2 per cell]  2 Sc 2.41

---

Material: CdIn4
Method: DFT, PBE
State: optimized geometry

Results
As for the calculated total energy: -2.331 eV/atom. As for the energy of formation from the pure elements: 20.5 kJ/mol of formula units. The calculation puts the energy above the most stable polymorph in this dataset at 0.74 kJ per mole of atoms.

Unit cell a=8.3211 b=14.9203 c=5.6295 alpha=90.00 beta=129.88 gamma=90.00
Last column: nearest neighbours and their distance in Å.
Space group C2/c (No. 15)
Unique sites:
Cd 0.0000 0.0087 0.2500 [4 per cell]  2 Cd 2.83, 4 In 3.16
In 0.1194 0.4041 0.1153 [8 per cell]  2 Cd 3.16, 6 In 3.16-3.40
In 0.1496 0.1923 0.1464 [8 per cell]  6 In 3.16-3.46, 2 Cd 3.21-3.46

---

Material: K3Dy2NpO6
Method: DFT, PBE
State: optimized geometry

Results
As for the calculated total energy: -7.158 eV/atom. The calculation puts the uncorrected formation energy at -30.71 eV/f.u.

Unit cell a=6.0903 b=10.5492 c=6.6009 alpha=90.00 beta=107.91 gamma=90.00
Last column: nearest neighbours and their distance in Å.
Space group C2/m (No. 12)
Unique sites:
K 0.0000 0.0000 0.0000 [2 per cell]  6 O 2.81-2.84
K 0.0000 0.3324 0.0000 [4 per cell]  6 O 2.81-2.84
Dy 0.0000 0.1666 0.5000 [4 per cell]  6 O 2.33-2.34
Np 0.0000 0.5000 0.5000 [2 per cell]  6 O 2.36
O 0.2255 0.0000 0.6864 [4 per cell]  2 Dy 2.33, 1 Np 2.36
O 0.2305 0.3317 0.6865 [8 per cell]  2 Dy 2.34, 1 Np 2.36

---

Material: CaTl3Zn2F9
Method: DFT, PBE
State: optimized geometry

Results
As for the calculated total energy: -4.332 eV/atom. The calculation puts the uncorrected formation energy at -36.49 eV/f.u.

Unit cell a=6.0662 b=6.0662 c=7.4854 alpha=90.00 beta=90.00 gamma=120.00
Last column: nearest neighbours and their distance in Å.
Space group P-3m1 (No. 164)
Unique sites:
Ca 0.0000 0.0000 0.0000 [1 per cell]  6 F 2.27
Tl 0.0000 0.0000 0.5000 [1 per cell]  12 F 3.00-3.03
Tl 0.3333 0.6667 0.1827 [2 per cell]  12 F 2.95-3.20
Zn 0.3333 0.6667 0.6619 [2 per cell]  6 F 2.06-2.13
F 0.0000 0.5000 0.5000 [3 per cell]  2 Zn 2.13
F 0.1728 0.3455 0.8189 [6 per cell]  1 Zn 2.06, 1 Ca 2.27